Entry 1:
Ac5Ir2Pt2 | GGA-PBE | relaxed

Cell lengths 8.8138, 8.8138, 8.1637 Å; angles 90.00, 90.00, 55.51 degrees
Fractional coordinates of all 18 atoms:
Ac: 0.0000 0.0000 0.0000
Ac: 0.0351 0.6965 0.6625
Ac: 0.1965 0.5351 0.1625
Ac: 0.3035 0.9649 0.6625
Ac: 0.4649 0.8035 0.1625
Ac: 0.5000 0.5000 0.5000
Ac: 0.5351 0.1965 0.8375
Ac: 0.6965 0.0351 0.3375
Ac: 0.8035 0.4649 0.8375
Ac: 0.9649 0.3035 0.3375
Ir: 0.1307 0.8693 0.3702
Ir: 0.3693 0.6307 0.8702
Ir: 0.6307 0.3693 0.1298
Ir: 0.8693 0.1307 0.6298
Pt: 0.2006 0.2006 0.0000
Pt: 0.2994 0.2994 0.5000
Pt: 0.7006 0.7006 0.5000
Pt: 0.7994 0.7994 0.0000

Computed properties:
V, Å³/atom: 29.041
Crystal system: orthorhombic

---

Entry 2:
NdThAlGe | GGA-PBE | relaxed

Cell lengths 4.1196, 6.0708, 6.0708 Å; angles 43.29, 90.00, 90.00 degrees
Fractional coordinates of all 4 atoms:
Nd: 0.0000 0.0000 0.0000
Th: 0.5000 0.2849 0.2849
Al: 0.0000 0.7140 0.7140
Ge: 0.5000 0.5677 0.5677

Computed properties:
V, Å³/atom: 26.028
Crystal system: orthorhombic

---

Entry 3:
Sc8TlCd2 | GGA-PBE | relaxed

Cell lengths 8.1325, 8.1325, 5.0938 Å; angles 102.26, 102.26, 119.22 degrees
Fractional coordinates of all 11 atoms:
Sc: 0.1005 0.3251 0.6274
Sc: 0.2160 0.7840 0.0000
Sc: 0.3251 0.1005 0.6274
Sc: 0.4057 0.4057 0.2016
Sc: 0.5943 0.5943 0.7984
Sc: 0.6749 0.8995 0.3726
Sc: 0.7840 0.2160 0.0000
Sc: 0.8995 0.6749 0.3726
Tl: 0.0000 0.0000 0.0000
Cd: 0.3046 0.6954 0.5000
Cd: 0.6954 0.3046 0.5000

Computed properties:
V, Å³/atom: 24.259
Excess energy over the best structure of this formula in the dataset, meV/atom: 66
Crystal system: monoclinic

---

Entry 4:
PrGaPd2 | GGA-PBE | relaxed

Cell lengths 7.6024, 7.1952, 5.7811 Å; angles 90.00, 90.00, 90.00 degrees
Fractional coordinates of all 16 atoms:
Pr: 0.0329 0.2500 0.1466
Pr: 0.4671 0.7500 0.6466
Pr: 0.5329 0.2500 0.3534
Pr: 0.9671 0.7500 0.8534
Ga: 0.1185 0.7500 0.3528
Ga: 0.3815 0.2500 0.8528
Ga: 0.6185 0.7500 0.1472
Ga: 0.8815 0.2500 0.6472
Pd: 0.1784 0.0534 0.5890
Pd: 0.1784 0.4466 0.5890
Pd: 0.3216 0.5534 0.0890
Pd: 0.3216 0.9466 0.0890
Pd: 0.6784 0.0534 0.9110
Pd: 0.6784 0.4466 0.9110
Pd: 0.8216 0.5534 0.4110
Pd: 0.8216 0.9466 0.4110

Computed properties:
V, Å³/atom: 19.764
Crystal system: orthorhombic

---

Entry 5:
TeAsC | GGA-PBE | relaxed

Cell lengths 4.5478, 3.9987, 8.8609 Å; angles 90.00, 101.99, 90.00 degrees
Fractional coordinates of all 6 atoms:
Te: 0.0000 0.0000 0.0000
Te: 0.3039 0.5000 0.3607
As: 0.6160 0.5000 0.8915
As: 0.8380 0.5000 0.6509
C: 0.5759 0.1665 0.5196
C: 0.5759 0.8335 0.5196

Computed properties:
V, Å³/atom: 26.270
Excess energy over the best structure of this formula in the dataset, meV/atom: 0
Uncorrected formation energy, eV per formula unit: 1.60
Crystal system: monoclinic

---

Entry 6:
Tm8InSn2 | GGA-PBE | relaxed

Cell lengths 9.9422, 9.9422, 6.7169 Å; angles 103.57, 103.57, 29.27 degrees
Fractional coordinates of all 11 atoms:
Tm: 0.0223 0.0223 0.2652
Tm: 0.2157 0.2157 0.8246
Tm: 0.3423 0.3423 0.4988
Tm: 0.4080 0.4080 0.0229
Tm: 0.5920 0.5920 0.9771
Tm: 0.6577 0.6577 0.5012
Tm: 0.7843 0.7843 0.1754
Tm: 0.9777 0.9777 0.7348
In: 0.5000 0.5000 0.5000
Sn: 0.1814 0.1814 0.2596
Sn: 0.8186 0.8186 0.7404

Computed properties:
V, Å³/atom: 28.627
Crystal system: monoclinic

---

no.,uncorrected energy (Ha/atom)
1,-0.236
2,-0.211
3,-0.184
4,-0.198
5,-0.189
6,-0.166